# 1
# NdTh2Zr PBE relaxed
# D(E_F) (states/eV/f.u.): 6.1
# Spin magnetization (μB per atom): 0.000
# Formation enthalpy at 0 K (kJ per mole of atoms): 14
# E_tot (eV per cell): -27.559
data_NdTh2Zr
_chemical_formula_sum 'Nd1 Th2 Zr1'
_cell_length_a 4.957
_cell_length_b 4.957
_cell_length_c 4.960
_cell_angle_alpha 90.00
_cell_angle_beta 90.00
_cell_angle_gamma 90.00
_symmetry_space_group_name_H-M 'P 4/m m m'
_symmetry_Int_Tables_number 123
_symmetry_space_group_name_Hall '-P 4 2'
loop_
_atom_site_label
_atom_site_type_symbol
_atom_site_fract_x
_atom_site_fract_y
_atom_site_fract_z
Nd1 Nd 0.000 0.000 0.000
Th1 Th 0.000 0.500 0.500
Zr1 Zr 0.500 0.500 0.000

=====

# 2
# SbTeSe PBE relaxed
# D(E_F) (states/eV/f.u.): 2.6
# Spin magnetization (μB per atom): 0.000
# E_tot (eV per cell): -40.370
# Formation energy without anion corrections (eV/atom): 0.219
data_SbTeSe
_chemical_formula_sum 'Sb4 Te4 Se4'
_cell_length_a 4.109
_cell_length_b 8.871
_cell_length_c 12.200
_cell_angle_alpha 90.00
_cell_angle_beta 90.00
_cell_angle_gamma 90.00
_symmetry_space_group_name_H-M 'F m m 2'
_symmetry_Int_Tables_number 42
_symmetry_space_group_name_Hall 'F 2 -2'
loop_
_atom_site_label
_atom_site_type_symbol
_atom_site_fract_x
_atom_site_fract_y
_atom_site_fract_z
Sb1 Sb 0.000 0.000 0.000
Te1 Te 0.000 0.000 0.330
Se1 Se 0.000 0.000 0.653

=====

> What is the E_tot in the first record?

-27.559 eV per cell

=====

> The highest D(E_F) belongs to which entry?

NdTh2Zr

=====

> What is the E_tot in the first record?

-27.559 eV per cell

=====

> Look up the spin magnetization of the second one.

0.000 μB per atom